Arrangement 1

# DyPuCu2 | Alexandria via LeMat-Bulk | GGA-PBE | relaxed
# Crystal system: cubic
data_DyPuCu2
_chemical_formula_sum 'Dy4 Pu4 Cu8'
_space_group_name_H-M_alt 'F m -3 m'
_space_group_IT_number 225
_space_group_name_Hall '-F 4 2 3'
_cell_length_a 6.956
_cell_length_b 6.956
_cell_length_c 6.956
_cell_angle_alpha 90.00
_cell_angle_beta 90.00
_cell_angle_gamma 90.00
loop_
_atom_site_label
_atom_site_type_symbol
_atom_site_fract_x
_atom_site_fract_y
_atom_site_fract_z
Dy1 Dy 0.000 0.000 0.000
Pu1 Pu 0.000 0.000 0.500
Cu1 Cu 0.250 0.250 0.250

Arrangement 2

# DyPuCu2 | Alexandria via LeMat-Bulk | GGA-PBE | relaxed
# Crystal system: trigonal
data_DyPuCu2
_chemical_formula_sum 'Dy3 Pu3 Cu6'
_space_group_name_H-M_alt 'R -3 m'
_space_group_IT_number 166
_space_group_name_Hall '-R 3 2"'
_cell_length_a 3.7140
_cell_length_b 3.7140
_cell_length_c 23.2114
_cell_angle_alpha 90.00
_cell_angle_beta 90.00
_cell_angle_gamma 120.00
loop_
_atom_site_label
_atom_site_type_symbol
_atom_site_fract_x
_atom_site_fract_y
_atom_site_fract_z
Dy1 Dy 0.0000 0.0000 0.0000
Pu1 Pu 0.0000 0.0000 0.5000
Cu1 Cu 0.0000 0.0000 0.2519

Short version: arrangement 1 is the most stable of them.

Arrangement 1

# Dy4CuRh2 | Alexandria via LeMat-Bulk | GGA-PBE | relaxed
# Crystal system: trigonal
data_Dy4CuRh2
_chemical_formula_sum 'Dy12 Cu3 Rh6'
_space_group_name_H-M_alt 'R -3 m'
_space_group_IT_number 166
_space_group_name_Hall '-R 3 2"'
_cell_length_a 4.8395
_cell_length_b 4.8395
_cell_length_c 23.7409
_cell_angle_alpha 90.00
_cell_angle_beta 90.00
_cell_angle_gamma 120.00
loop_
_atom_site_label
_atom_site_type_symbol
_atom_site_fract_x
_atom_site_fract_y
_atom_site_fract_z
Dy1 Dy 0.0000 0.0000 0.1234
Dy2 Dy 0.0000 0.0000 0.3740
Cu1 Cu 0.0000 0.0000 0.5000
Rh1 Rh 0.0000 0.0000 0.2487

Arrangement 2

# Dy4CuRh2 | Alexandria via LeMat-Bulk | GGA-PBE | relaxed
# Crystal system: monoclinic
data_Dy4CuRh2
_chemical_formula_sum 'Dy16 Cu4 Rh8'
_space_group_name_H-M_alt 'C 1 2 1'
_space_group_IT_number 5
_cell_length_a 12.222
_cell_length_b 8.604
_cell_length_c 8.652
_cell_angle_alpha 90.00
_cell_angle_beta 134.91
_cell_angle_gamma 90.00
loop_
_space_group_symop_operation_xyz
'x,y,z'
'-x,y,-z'
'x+1/2,y+1/2,z'
'-x+1/2,y+1/2,-z'
loop_
_atom_site_label
_atom_site_type_symbol
_atom_site_fract_x
_atom_site_fract_y
_atom_site_fract_z
Dy1 Dy 0.062 0.000 0.248
Dy2 Dy 0.065 0.612 0.379
Dy3 Dy 0.186 0.250 0.748
Dy4 Dy 0.186 0.363 0.121
Cu1 Cu 0.000 0.681 0.000
Cu2 Cu 0.000 0.927 0.500
Rh1 Rh 0.131 0.306 0.380
Rh2 Rh 0.249 0.556 0.879

Short version: arrangement 1 is the most stable of them.

Arrangement 1

# Dy3Cu2Rh | Alexandria via LeMat-Bulk | GGA-PBE | relaxed
# Crystal system: tetragonal
data_Dy3Cu2Rh
_chemical_formula_sum 'Dy3 Cu2 Rh1'
_space_group_name_H-M_alt 'P 4/m m m'
_space_group_IT_number 123
_space_group_name_Hall '-P 4 2'
_cell_length_a 3.458
_cell_length_b 3.458
_cell_length_c 10.400
_cell_angle_alpha 90.00
_cell_angle_beta 90.00
_cell_angle_gamma 90.00
loop_
_atom_site_label
_atom_site_type_symbol
_atom_site_fract_x
_atom_site_fract_y
_atom_site_fract_z
Dy1 Dy 0.000 0.000 0.000
Dy2 Dy 0.000 0.000 0.339
Cu1 Cu 0.500 0.500 0.168
Rh1 Rh 0.500 0.500 0.500

Arrangement 2

# Dy3Cu2Rh | Alexandria via LeMat-Bulk | GGA-PBE | relaxed
# Crystal system: orthorhombic
data_Dy3Cu2Rh
_chemical_formula_sum 'Dy12 Cu8 Rh4'
_space_group_name_H-M_alt 'P n m a'
_space_group_IT_number 62
_cell_length_a 11.471
_cell_length_b 4.177
_cell_length_c 11.186
_cell_angle_alpha 90.00
_cell_angle_beta 90.00
_cell_angle_gamma 90.00
loop_
_space_group_symop_operation_xyz
'x,y,z'
'-x,-y,-z'
'-x+1/2,-y,z+1/2'
'x+1/2,y,-z+1/2'
'x+1/2,-y+1/2,-z+1/2'
'-x+1/2,y+1/2,z+1/2'
'-x,y+1/2,-z'
'x,-y+1/2,z'
loop_
_atom_site_label
_atom_site_type_symbol
_atom_site_fract_x
_atom_site_fract_y
_atom_site_fract_z
Dy1 Dy 0.049 0.250 0.125
Dy2 Dy 0.118 0.750 0.556
Dy3 Dy 0.227 0.250 0.796
Cu1 Cu 0.007 0.750 0.306
Cu2 Cu 0.191 0.750 0.005
Rh1 Rh 0.124 0.250 0.371

Short version: arrangement 1 is the most stable of them.

Arrangement 1

# SmDyCuRh | Alexandria via LeMat-Bulk | GGA-PBE | relaxed
# Crystal system: orthorhombic
data_SmDyCuRh
_chemical_formula_sum 'Sm2 Dy2 Cu2 Rh2'
_space_group_name_H-M_alt 'A m m 2'
_space_group_IT_number 38
_cell_length_a 4.407
_cell_length_b 3.824
_cell_length_c 10.472
_cell_angle_alpha 90.00
_cell_angle_beta 90.00
_cell_angle_gamma 90.00
loop_
_space_group_symop_operation_xyz
'x,y,z'
'-x,-y,z'
'-x,y,z'
'x,-y,z'
'x,y+1/2,z+1/2'
'-x,-y+1/2,z+1/2'
'-x,y+1/2,z+1/2'
'x,-y+1/2,z+1/2'
loop_
_atom_site_label
_atom_site_type_symbol
_atom_site_fract_x
_atom_site_fract_y
_atom_site_fract_z
Sm1 Sm 0.000 0.000 0.000
Dy1 Dy 0.500 0.000 0.723
Cu1 Cu 0.500 0.000 0.433
Rh1 Rh 0.000 0.000 0.277

Arrangement 2

# SmDyCuRh | Alexandria via LeMat-Bulk | GGA-PBE | relaxed
# Crystal system: cubic
data_SmDyCuRh
_chemical_formula_sum 'Sm4 Dy4 Cu4 Rh4'
_space_group_name_H-M_alt 'F -4 3 m'
_space_group_IT_number 216
_space_group_name_Hall 'F -4 2 3'
_cell_length_a 6.977
_cell_length_b 6.977
_cell_length_c 6.977
_cell_angle_alpha 90.00
_cell_angle_beta 90.00
_cell_angle_gamma 90.00
loop_
_atom_site_label
_atom_site_type_symbol
_atom_site_fract_x
_atom_site_fract_y
_atom_site_fract_z
Sm1 Sm 0.000 0.000 0.000
Dy1 Dy 0.000 0.000 0.500
Cu1 Cu 0.250 0.250 0.750
Rh1 Rh 0.250 0.250 0.250

Short version: arrangement 1 is the most stable of them.

Arrangement 1

# DyTmCuRh | Alexandria via LeMat-Bulk | GGA-PBE | relaxed
# Crystal system: orthorhombic
data_DyTmCuRh
_chemical_formula_sum 'Dy2 Tm2 Cu2 Rh2'
_space_group_name_H-M_alt 'A m m 2'
_space_group_IT_number 38
_cell_length_a 4.363
_cell_length_b 3.731
_cell_length_c 10.312
_cell_angle_alpha 90.00
_cell_angle_beta 90.00
_cell_angle_gamma 90.00
loop_
_space_group_symop_operation_xyz
'x,y,z'
'-x,-y,z'
'-x,y,z'
'x,-y,z'
'x,y+1/2,z+1/2'
'-x,-y+1/2,z+1/2'
'-x,y+1/2,z+1/2'
'x,-y+1/2,z+1/2'
loop_
_atom_site_label
_atom_site_type_symbol
_atom_site_fract_x
_atom_site_fract_y
_atom_site_fract_z
Dy1 Dy 0.000 0.000 0.000
Tm1 Tm 0.500 0.000 0.722
Cu1 Cu 0.500 0.000 0.435
Rh1 Rh 0.000 0.000 0.277

Arrangement 2

# DyTmCuRh | Alexandria via LeMat-Bulk | GGA-PBE | relaxed
# Crystal system: cubic
data_DyTmCuRh
_chemical_formula_sum 'Dy4 Tm4 Cu4 Rh4'
_space_group_name_H-M_alt 'F -4 3 m'
_space_group_IT_number 216
_space_group_name_Hall 'F -4 2 3'
_cell_length_a 6.857
_cell_length_b 6.857
_cell_length_c 6.857
_cell_angle_alpha 90.00
_cell_angle_beta 90.00
_cell_angle_gamma 90.00
loop_
_atom_site_label
_atom_site_type_symbol
_atom_site_fract_x
_atom_site_fract_y
_atom_site_fract_z
Dy1 Dy 0.000 0.000 0.000
Tm1 Tm 0.000 0.000 0.500
Cu1 Cu 0.250 0.250 0.750
Rh1 Rh 0.250 0.250 0.250

Short version: arrangement 1 is the most stable of them.

Arrangement 1

# DyYCuRh | Alexandria via LeMat-Bulk | GGA-PBE | relaxed
# Crystal system: orthorhombic
data_DyYCuRh
_chemical_formula_sum 'Dy2 Y2 Cu2 Rh2'
_space_group_name_H-M_alt 'A m m 2'
_space_group_IT_number 38
_cell_length_a 4.357
_cell_length_b 3.796
_cell_length_c 10.421
_cell_angle_alpha 90.00
_cell_angle_beta 90.00
_cell_angle_gamma 90.00
loop_
_space_group_symop_operation_xyz
'x,y,z'
'-x,-y,z'
'-x,y,z'
'x,-y,z'
'x,y+1/2,z+1/2'
'-x,-y+1/2,z+1/2'
'-x,y+1/2,z+1/2'
'x,-y+1/2,z+1/2'
loop_
_atom_site_label
_atom_site_type_symbol
_atom_site_fract_x
_atom_site_fract_y
_atom_site_fract_z
Dy1 Dy 0.000 0.000 0.000
Y1 Y 0.500 0.000 0.278
Cu1 Cu 0.000 0.000 0.712
Rh1 Rh 0.500 0.000 0.557

Arrangement 2

# DyYCuRh | Alexandria via LeMat-Bulk | GGA-PBE | relaxed
# Crystal system: cubic
data_DyYCuRh
_chemical_formula_sum 'Dy4 Y4 Cu4 Rh4'
_space_group_name_H-M_alt 'F -4 3 m'
_space_group_IT_number 216
_space_group_name_Hall 'F -4 2 3'
_cell_length_a 6.916
_cell_length_b 6.916
_cell_length_c 6.916
_cell_angle_alpha 90.00
_cell_angle_beta 90.00
_cell_angle_gamma 90.00
loop_
_atom_site_label
_atom_site_type_symbol
_atom_site_fract_x
_atom_site_fract_y
_atom_site_fract_z
Dy1 Dy 0.000 0.000 0.000
Y1 Y 0.000 0.000 0.500
Cu1 Cu 0.250 0.250 0.250
Rh1 Rh 0.250 0.250 0.750

Short version: arrangement 1 is the most stable of them.

Arrangement 1

# Dy4CuRu | Alexandria via LeMat-Bulk | GGA-PBE | relaxed
# Crystal system: monoclinic
data_Dy4CuRu
_chemical_formula_sum 'Dy8 Cu2 Ru2'
_space_group_name_H-M_alt 'C 1 2/m 1'
_space_group_IT_number 12
_cell_length_a 6.805
_cell_length_b 6.804
_cell_length_c 6.805
_cell_angle_alpha 90.00
_cell_angle_beta 90.06
_cell_angle_gamma 90.00
loop_
_space_group_symop_operation_xyz
'x,y,z'
'-x,-y,-z'
'-x,y,-z'
'x,-y,z'
'x+1/2,y+1/2,z'
'-x+1/2,-y+1/2,-z'
'-x+1/2,y+1/2,-z'
'x+1/2,-y+1/2,z'
loop_
_atom_site_label
_atom_site_type_symbol
_atom_site_fract_x
_atom_site_fract_y
_atom_site_fract_z
Dy1 Dy 0.250 0.250 0.245
Cu1 Cu 0.000 0.000 0.500
Ru1 Ru 0.000 0.500 0.000

Arrangement 2

# Dy4CuRu | Alexandria via LeMat-Bulk | GGA-PBE | relaxed
# Crystal system: tetragonal
data_Dy4CuRu
_chemical_formula_sum 'Dy4 Cu1 Ru1'
_space_group_name_H-M_alt 'P 4/m m m'
_space_group_IT_number 123
_space_group_name_Hall '-P 4 2'
_cell_length_a 3.442
_cell_length_b 3.442
_cell_length_c 12.548
_cell_angle_alpha 90.00
_cell_angle_beta 90.00
_cell_angle_gamma 90.00
loop_
_atom_site_label
_atom_site_type_symbol
_atom_site_fract_x
_atom_site_fract_y
_atom_site_fract_z
Dy1 Dy 0.000 0.000 0.131
Dy2 Dy 0.500 0.500 0.363
Cu1 Cu 0.000 0.000 0.500
Ru1 Ru 0.500 0.500 0.000

Short version: arrangement 2 is the most stable of them.

Arrangement 1

# Dy3CuRu | Alexandria via LeMat-Bulk | GGA-PBE | relaxed
# Crystal system: monoclinic
data_Dy3CuRu
_chemical_formula_sum 'Dy6 Cu2 Ru2'
_space_group_name_H-M_alt 'P 1 21/m 1'
_space_group_IT_number 11
_cell_length_a 6.523
_cell_length_b 4.069
_cell_length_c 8.923
_cell_angle_alpha 90.00
_cell_angle_beta 90.05
_cell_angle_gamma 90.00
loop_
_space_group_symop_operation_xyz
'x,y,z'
'-x,-y,-z'
'-x,y+1/2,-z'
'x,-y+1/2,z'
loop_
_atom_site_label
_atom_site_type_symbol
_atom_site_fract_x
_atom_site_fract_y
_atom_site_fract_z
Dy1 Dy 0.217 0.250 0.059
Dy2 Dy 0.217 0.250 0.441
Dy3 Dy 0.268 0.750 0.750
Cu1 Cu 0.425 0.750 0.250
Ru1 Ru 0.023 0.750 0.250

Arrangement 2

# Dy3CuRu | Alexandria via LeMat-Bulk | GGA-PBE | relaxed
# Crystal system: triclinic
data_Dy3CuRu
_chemical_formula_sum 'Dy6 Cu2 Ru2'
_space_group_name_H-M_alt 'P -1'
_space_group_IT_number 2
_cell_length_a 5.632
_cell_length_b 5.983
_cell_length_c 8.200
_cell_angle_alpha 103.01
_cell_angle_beta 100.69
_cell_angle_gamma 114.45
loop_
_space_group_symop_operation_xyz
'x,y,z'
'-x,-y,-z'
loop_
_atom_site_label
_atom_site_type_symbol
_atom_site_fract_x
_atom_site_fract_y
_atom_site_fract_z
Dy1 Dy 0.064 0.209 0.288
Dy2 Dy 0.282 0.422 0.712
Dy3 Dy 0.312 0.813 0.125
Cu1 Cu 0.336 0.787 0.499
Ru1 Ru 0.250 0.250 0.000

Short version: arrangement 2 is the most stable of them.